[1]
A relaxed structure of KPaHg2Br6, computed with GGA-PBE.

abc: 8.1284 8.6769 12.4420
angles: 90.00 79.21 90.00
Positions (direct):
K 0.5000 0.0000 0.0000
K 0.0000 0.5000 0.5000
Pa 0.5000 0.0000 0.5000
Pa 0.0000 0.5000 0.0000
Hg 0.0829 0.9696 0.2332
Hg 0.5829 0.5304 0.7332
Hg 0.9171 0.0304 0.7668
Hg 0.4171 0.4696 0.2668
Br 0.2916 0.6545 0.0021
Br 0.7916 0.8455 0.5021
Br 0.7084 0.3455 0.9979
Br 0.2084 0.1545 0.4979
Br 0.3314 0.7277 0.5174
Br 0.8314 0.7723 0.0174
Br 0.6686 0.2723 0.4826
Br 0.1686 0.2277 0.9826
Br 0.9459 0.4782 0.2216
Br 0.4459 0.0218 0.7216
Br 0.0541 0.5218 0.7784
Br 0.5541 0.9782 0.2784

Results
**Calculated total energy**: -3.317 eV/atom
**Volume**: 431.0 Å³/f.u.
**E_form (uncorrected)**: -1.194 eV/atom
**Space-group type**: P2_1/c

=====

[2]
A relaxed structure of K2HgPbBr4, computed with GGA-PBE.

abc: 4.6081 7.7639 10.0117
angles: 60.21 76.69 72.74
Positions (direct):
K 0.7882 0.7077 0.7158
K 0.2118 0.2923 0.2842
Hg 0.5000 0.5000 0.5000
Pb 0.0000 0.0000 0.0000
Br 0.1430 0.0361 0.6779
Br 0.3795 0.3163 0.9248
Br 0.8570 0.9639 0.3221
Br 0.6205 0.6837 0.0752

Results
**Calculated total energy**: -2.794 eV/atom
**Volume**: 295.4 Å³/f.u.
**E_form (uncorrected)**: -1.182 eV/atom
**Space-group type**: C2/m

=====

[3]
A relaxed structure of KHgPbBr5, computed with GGA-PBE.

abc: 8.1600 8.1600 10.8483
angles: 103.88 103.88 106.31
Positions (direct):
K 0.3458 0.6542 0.2500
K 0.6542 0.3458 0.7500
Hg 0.6803 0.3197 0.2500
Hg 0.3197 0.6803 0.7500
Pb 0.0000 0.0000 0.5000
Pb 0.0000 0.0000 0.0000
Br 0.0943 0.9057 0.2500
Br 0.9057 0.0943 0.7500
Br 0.9164 0.3399 0.1166
Br 0.0836 0.6601 0.8834
Br 0.6601 0.0836 0.3834
Br 0.3399 0.9164 0.6166
Br 0.7254 0.6212 0.4455
Br 0.2746 0.3788 0.5545
Br 0.3788 0.2746 0.0545
Br 0.6212 0.7254 0.9455

Results
**Calculated total energy**: -2.632 eV/atom
**Volume**: 317.7 Å³/f.u.
**E_form (uncorrected)**: -0.948 eV/atom
**Space-group type**: C2/c

=====

[4]
A relaxed structure of KHgPbBr6, computed with GGA-PBE.

abc: 7.4280 7.4280 14.4945
angles: 90.00 90.00 120.00
Positions (direct):
K 0.0000 0.0000 0.0000
K 0.0000 0.0000 0.5000
Hg 0.6667 0.3333 0.2500
Hg 0.3333 0.6667 0.7500
Pb 0.3333 0.6667 0.2500
Pb 0.6667 0.3333 0.7500
Br 0.6318 0.6264 0.1342
Br 0.9946 0.3682 0.1342
Br 0.3682 0.9946 0.6342
Br 0.0054 0.6318 0.8658
Br 0.3736 0.3682 0.3658
Br 0.9946 0.6264 0.3658
Br 0.6264 0.9946 0.8658
Br 0.6318 0.0054 0.3658
Br 0.0054 0.3736 0.6342
Br 0.3736 0.0054 0.1342
Br 0.6264 0.6318 0.6342
Br 0.3682 0.3736 0.8658

Results
**Calculated total energy**: -2.456 eV/atom
**Volume**: 346.3 Å³/f.u.
**E_form (uncorrected)**: -0.774 eV/atom
**Space-group type**: P-31c